# Cd5Bi3O12 | the Alexandria database | PBE | relaxed
# D(E_F)	0.52	states/eV per atom
# energy above the most stable polymorph in this dataset	3.53	eV per formula unit
# E_form (uncorrected)	-0.7617	eV/atom
data_Cd5Bi3O12
_cell_length_a 11.5430
_cell_length_b 11.5430
_cell_length_c 11.5430
_cell_angle_alpha 109.47
_cell_angle_beta 109.47
_cell_angle_gamma 109.47
_symmetry_space_group_name_H-M 'P 1'
_symmetry_Int_Tables_number 1
_symmetry_space_group_name_Hall 'P 1'
loop_
_atom_site_label
_atom_site_type_symbol
_atom_site_fract_x
_atom_site_fract_y
_atom_site_fract_z
O1 O 0.9162 0.8304 0.7754
O2 O 0.4450 0.6696 0.0858
O3 O 0.2754 0.8592 0.9450
O4 O 0.8304 0.9142 0.0550
O5 O 0.7754 0.3304 0.9162
O6 O 0.0550 0.4142 0.8304
O7 O 0.5838 0.8592 0.4142
O8 O 0.2754 0.4162 0.8304
O9 O 0.8304 0.9162 0.2754
O10 O 0.6696 0.2246 0.5838
O11 O 0.1696 0.0858 0.9450
O12 O 0.9142 0.8304 0.5550
O13 O 0.0858 0.1696 0.4450
O14 O 0.4162 0.2754 0.3304
O15 O 0.3304 0.7754 0.4162
O16 O 0.9162 0.0858 0.6408
O17 O 0.2246 0.6696 0.0838
O18 O 0.5858 0.9450 0.6696
O19 O 0.4450 0.7754 0.8592
O20 O 0.5550 0.3304 0.9142
O21 O 0.8592 0.2754 0.4450
O22 O 0.0838 0.9142 0.3592
O23 O 0.2246 0.5550 0.6408
O24 O 0.7246 0.5838 0.1696
O25 O 0.0858 0.9162 0.1408
O26 O 0.5858 0.6408 0.4162
O27 O 0.6408 0.5858 0.9162
O28 O 0.6408 0.0550 0.2246
O29 O 0.0550 0.6408 0.7246
O30 O 0.4162 0.1408 0.5858
O31 O 0.5550 0.2246 0.1408
O32 O 0.3592 0.9450 0.7754
O33 O 0.3592 0.4142 0.0838
O34 O 0.1696 0.0838 0.7246
O35 O 0.4142 0.0550 0.3304
O36 O 0.9142 0.0838 0.8592
O37 O 0.1408 0.4162 0.0858
O38 O 0.7754 0.4450 0.3592
O39 O 0.1408 0.7246 0.5550
O40 O 0.9450 0.3592 0.2754
O41 O 0.9450 0.5858 0.1696
O42 O 0.8592 0.5838 0.9142
O43 O 0.5838 0.7246 0.6696
O44 O 0.6696 0.4450 0.5858
O45 O 0.3304 0.5550 0.4142
O46 O 0.0838 0.1696 0.2246
O47 O 0.4142 0.3592 0.5838
O48 O 0.7246 0.1408 0.0550
Cd1 Cd 0.8750 0.6250 0.7500
Cd2 Cd 0.6250 0.8750 0.2500
Cd3 Cd 0.0000 0.0000 0.0000
Cd4 Cd 0.2500 0.8750 0.1250
Cd5 Cd 0.5000 0.0000 0.5000
Cd6 Cd 0.3750 0.1250 0.7500
Cd7 Cd 0.5000 0.5000 0.5000
Cd8 Cd 0.2500 0.3750 0.6250
Cd9 Cd 0.6250 0.7500 0.8750
Cd10 Cd 0.1250 0.7500 0.3750
Cd11 Cd 0.1250 0.3750 0.2500
Cd12 Cd 0.3750 0.2500 0.1250
Cd13 Cd 0.8750 0.2500 0.6250
Cd14 Cd 0.0000 0.5000 0.0000
Cd15 Cd 0.7500 0.1250 0.8750
Cd16 Cd 0.5000 0.5000 0.0000
Cd17 Cd 0.0000 0.0000 0.5000
Cd18 Cd 0.5000 0.0000 0.0000
Cd19 Cd 0.0000 0.5000 0.5000
Cd20 Cd 0.7500 0.6250 0.3750
Bi1 Bi 0.1250 0.2500 0.8750
Bi2 Bi 0.8750 0.1250 0.2500
Bi3 Bi 0.2500 0.6250 0.8750
Bi4 Bi 0.3750 0.6250 0.2500
Bi5 Bi 0.2500 0.1250 0.3750
Bi6 Bi 0.3750 0.7500 0.6250
Bi7 Bi 0.6250 0.3750 0.7500
Bi8 Bi 0.7500 0.8750 0.6250
Bi9 Bi 0.6250 0.2500 0.3750
Bi10 Bi 0.8750 0.7500 0.1250
Bi11 Bi 0.1250 0.8750 0.7500
Bi12 Bi 0.7500 0.3750 0.1250


# BeWCl | the Alexandria database | PBE | relaxed
# D(E_F)	0.41	states/eV per atom
# energy above the most stable polymorph in this dataset	0.17	eV per formula unit
# E_form (uncorrected)	0.4899	eV/atom
data_BeWCl
_cell_length_a 6.9063
_cell_length_b 6.9063
_cell_length_c 6.9063
_cell_angle_alpha 156.10
_cell_angle_beta 156.10
_cell_angle_gamma 34.06
_symmetry_space_group_name_H-M 'P 1'
_symmetry_Int_Tables_number 1
_symmetry_space_group_name_Hall 'P 1'
loop_
_atom_site_label
_atom_site_type_symbol
_atom_site_fract_x
_atom_site_fract_y
_atom_site_fract_z
W1 W 0.6584 0.6584 0.0000
Cl1 Cl 0.2894 0.2894 0.0000
Be1 Be 0.0523 0.0523 0.0000


Q: Which value of energy above the most stable polymorph in this dataset does entry 1 give?
A: 3.53 eV per formula unit


Q: What is the formula in the second record?
A: BeWCl


Q: Which value of D(E_F) does entry 2 give?
A: 0.41 states/eV per atom